LaAl2Zn: optimized geometry, PBE.

Computed properties:
Energy relative to the elements, eV per atom: -0.213

a b c (Å): 6.9661 6.9588 4.9363
angles (deg): 90.00 134.87 90.00
Space group C2 (No. 5)
Symmetry-distinct sites (fractional):
La1 0.0000 0.0000 0.0000 x2
Al1 0.0000 0.2496 0.5000 x2
Al2 0.0000 0.4999 0.0000 x2
Zn1 0.0000 0.7506 0.5000 x2


Th4OsPb2N2: optimized geometry, PBE.

Computed properties:
E_form (uncorrected), eV per atom: -0.8813

a b c (Å): 17.2861 4.1219 6.9342
angles (deg): 90.00 110.16 90.00
Space group C2/m (No. 12)
Symmetry-distinct sites (fractional):
Th1 0.0492 0.0000 0.2918 x4
Th2 0.2302 0.5000 0.2682 x4
Os1 0.0000 0.5000 0.0000 x2
Pb1 0.1149 0.5000 0.7634 x4
N1 0.1917 0.0000 0.3751 x4


Sr2AsRh: optimized geometry, PBE.

Computed properties:
Energy relative to the elements, eV per atom: -0.448

a b c (Å): 4.9605 4.9605 8.2070
angles (deg): 90.00 90.00 90.00
Space group I4/mmm (No. 139)
Symmetry-distinct sites (fractional):
Sr1 0.0000 0.5000 0.2500 x4
As1 0.0000 0.0000 0.0000 x2
Rh1 0.0000 0.0000 0.5000 x2


LiGa8Cu6: optimized geometry, PBE.

Computed properties:
Energy relative to the elements, eV per atom: -0.114

a b c (Å): 7.3475 7.3475 14.7971
angles (deg): 90.00 90.00 120.00
Space group R-3 (No. 148, hexagonal axes)
Symmetry-distinct sites (fractional):
Li1 0.0000 0.0000 0.0000 x3
Ga1 0.0000 0.0000 0.3317 x6
Ga2 0.0073 0.6840 0.1220 x18
Cu1 0.0003 0.3364 0.0454 x18